This record from Alexandria via LeMat-Bulk describes TiWO3 after structural relaxation. The functional is GGA-PBEsol.

spin magnetization = 0.45 μB/atom
uncorrected energy = -8.985 eV/atom
formation energy without anion corrections = -1.41 eV per atom
density of states at the Fermi level = 0.902 states/eV per atom

```
data_TiWO3
_chemical_formula_sum 'Ti1 W1 O3'
_symmetry_space_group_name_H-M 'P m -3 m'
_symmetry_Int_Tables_number 221
_symmetry_space_group_name_Hall '-P 4 2 3'
_cell_length_a 3.8933
_cell_length_b 3.8933
_cell_length_c 3.8933
_cell_angle_alpha 90.00
_cell_angle_beta 90.00
_cell_angle_gamma 90.00
loop_
_atom_site_label
_atom_site_fract_x
_atom_site_fract_y
_atom_site_fract_z
Ti1 0.0000 0.0000 0.0000
W1 0.5000 0.5000 0.5000
O1 0.0000 0.5000 0.5000
```


This record from Alexandria via LeMat-Bulk describes TcHg2Pt after structural relaxation. The functional is GGA-PBEsol.

spin magnetization = 0.10 μB/atom
E_form = 0.379 eV per atom
uncorrected energy = -4.462 eV/atom
distance to the lowest polymorph of the same formula = 139.6 meV/atom
density of states at the Fermi level = 0.807 states/eV per atom

```
data_TcHg2Pt
_chemical_formula_sum 'Tc2 Hg4 Pt2'
_symmetry_space_group_name_H-M 'I m m 2'
_symmetry_Int_Tables_number 44
_cell_length_a 2.7748
_cell_length_b 4.8982
_cell_length_c 10.4737
_cell_angle_alpha 90.00
_cell_angle_beta 90.00
_cell_angle_gamma 90.00
loop_
_symmetry_equiv_pos_as_xyz
'x,y,z'
'-x,-y,z'
'-x,y,z'
'x,-y,z'
'x+1/2,y+1/2,z+1/2'
'-x+1/2,-y+1/2,z+1/2'
'-x+1/2,y+1/2,z+1/2'
'x+1/2,-y+1/2,z+1/2'
loop_
_atom_site_label
_atom_site_fract_x
_atom_site_fract_y
_atom_site_fract_z
Tc1 0.0000 0.0000 0.0000
Hg1 0.0000 0.0000 0.5315
Hg2 0.0000 0.5000 0.7446
Pt1 0.0000 0.5000 0.2914
```


This record from Alexandria via LeMat-Bulk describes K2LaCr after structural relaxation. The functional is GGA-PBEsol.

spin magnetization = 1.09 μB/atom
E_form = 0.920 eV per atom
uncorrected energy = -3.544 eV/atom
distance to the lowest polymorph of the same formula = 0.0 meV/atom
density of states at the Fermi level = 1.017 states/eV per atom

```
data_K2LaCr
_chemical_formula_sum 'K2 La1 Cr1'
_symmetry_space_group_name_H-M 'P 1 2/m 1'
_symmetry_Int_Tables_number 10
_cell_length_a 3.6143
_cell_length_b 6.7559
_cell_length_c 5.9666
_cell_angle_alpha 90.00
_cell_angle_beta 93.34
_cell_angle_gamma 90.00
loop_
_symmetry_equiv_pos_as_xyz
'x,y,z'
'-x,-y,-z'
'-x,y,-z'
'x,-y,z'
loop_
_atom_site_label
_atom_site_fract_x
_atom_site_fract_y
_atom_site_fract_z
K1 0.2315 0.0000 0.2671
La1 0.5000 0.5000 0.0000
Cr1 0.0000 0.5000 0.5000
```